## Li12Mg17 (PBE-GGA)

Data for a geometry-optimized Li12Mg17 structure.

Properties
The energy of formation from the pure elements comes out at -0.030 eV/atom.

abc: 10.656 10.656 10.656
angles: 90.00 90.00 90.00
Space group I-43m (No. 217)
Unique sites:
Li1 0.089 0.089 0.724 x24
Mg1 0.000 0.000 0.000 x2
Mg2 0.038 0.357 0.643 x24
Mg3 0.180 0.180 0.180 x8



## KCaZn (PBE-GGA)

Data for a geometry-optimized KCaZn structure.

Properties
The energy of formation from the pure elements comes out at 0.067 eV/atom.

abc: 3.995 3.995 15.411
angles: 90.00 90.00 90.00
Space group P4/nmm (No. 129, origin choice 2)
Unique sites:
K1 0.250 0.250 0.126 x2
Ca1 0.250 0.250 0.656 x2
Zn1 0.250 0.750 0.500 x2



## Y2PW (PBE-GGA)

Data for a geometry-optimized Y2PW structure.

Properties
The energy of formation from the pure elements comes out at 0.159 eV/atom.

abc: 4.165 4.165 9.823
angles: 90.00 90.00 90.00
Space group I-4m2 (No. 119)
Unique sites:
Y1 0.000 0.000 0.000 x2
Y2 0.000 0.500 0.250 x2
P1 0.000 0.500 0.750 x2
W1 0.000 0.000 0.500 x2



## Ga3PdCl12 (PBE-GGA)

Data for a geometry-optimized Ga3PdCl12 structure.

Properties
The value obtained for the uncorrected formation energy is -907 meV per atom.

abc: 11.8961 11.8961 30.0847
angles: 90.00 90.00 120.00
Space group R3c (No. 161, hexagonal axes)
Unique sites:
Ga1 0.0015 0.2897 0.0000 x18
Pd1 0.0000 0.0000 0.4985 x6
Cl1 0.0407 0.2194 0.6998 x18
Cl2 0.0923 0.1950 0.0445 x18
Cl3 0.1545 0.4563 0.9688 x18
Cl4 0.1947 0.0840 0.9525 x18



## LiZn2GaPt (PBE-GGA)

Data for a geometry-optimized LiZn2GaPt structure.

Properties
The energy of formation from the pure elements comes out at 0.445 eV/atom.

abc: 4.312 4.312 4.353
angles: 90.00 90.00 90.00
Space group P4/mmm (No. 123)
Unique sites:
Li1 0.000 0.000 0.000 x1
Zn1 0.000 0.500 0.000 x2
Ga1 0.000 0.000 0.500 x1
Pt1 0.500 0.500 0.500 x1



## AcPrSn2 (PBE-GGA)

Data for a geometry-optimized AcPrSn2 structure.

Properties
The energy of formation from the pure elements comes out at -0.615 eV/atom.

abc: 5.238 5.238 4.613
angles: 90.00 90.00 90.00
Space group P4/mmm (No. 123)
Unique sites:
Ac1 0.000 0.000 0.000 x1
Pr1 0.500 0.500 0.000 x1
Sn1 0.000 0.500 0.500 x2



## CuHgP2O (PBE-GGA)

Data for a geometry-optimized CuHgP2O structure.

Properties
The value obtained for the uncorrected formation energy is 517 meV per atom.

abc: 4.832 4.832 3.554
angles: 90.00 90.00 90.00
Space group P4/mmm (No. 123)
Unique sites:
Cu1 0.000 0.000 0.000 x1
Hg1 0.500 0.500 0.500 x1
P1 0.000 0.500 0.000 x2
O1 0.000 0.000 0.500 x1



## Pm2DyErSe4 (PBE-GGA)

Data for a geometry-optimized Pm2DyErSe4 structure.

Properties
The value obtained for the uncorrected formation energy is -1782 meV per atom.

abc: 7.081 4.062 7.296
angles: 90.00 108.69 90.00
Space group P2/m (No. 10)
Unique sites:
Pm1 0.000 0.000 0.000 x1
Pm2 0.500 0.500 0.000 x1
Dy1 0.000 0.500 0.500 x1
Er1 0.500 0.000 0.500 x1
Se1 0.247 0.000 0.737 x2
Se2 0.257 0.500 0.264 x2



## DyGaPd6 (PBE-GGA)

Data for a geometry-optimized DyGaPd6 structure.

Properties
The energy of formation from the pure elements comes out at -0.670 eV/atom.

abc: 4.057 4.057 7.927
angles: 90.00 90.00 90.00
Space group P4/mmm (No. 123)
Unique sites:
Dy1 0.000 0.000 0.000 x1
Ga1 0.000 0.000 0.500 x1
Pd1 0.000 0.500 0.266 x4
Pd2 0.500 0.500 0.000 x1
Pd3 0.500 0.500 0.500 x1



## NdGaTe2 (PBE-GGA)

Data for a geometry-optimized NdGaTe2 structure.

Properties
The value obtained for the uncorrected formation energy is -1005 meV per atom.

abc: 6.264 4.470 8.817
angles: 90.00 110.39 90.00
Space group P2_1/m (No. 11)
Unique sites:
Nd1 0.132 0.250 0.291 x2
Ga1 0.261 0.250 0.811 x2
Te1 0.271 0.750 0.072 x2
Te2 0.296 0.750 0.575 x2



## CePt4Rh2 (PBE-GGA)

Data for a geometry-optimized CePt4Rh2 structure.

Properties
The energy of formation from the pure elements comes out at 0.331 eV/atom.

abc: 6.959 6.959 6.915
angles: 90.00 90.00 90.00
Space group I4/mmm (No. 139)
Unique sites:
Ce1 0.000 0.000 0.000 x2
Pt1 0.000 0.255 0.500 x8
Rh1 0.000 0.500 0.250 x4



## Y3TmCu2 (PBE-GGA)

Data for a geometry-optimized Y3TmCu2 structure.

Properties
The energy of formation from the pure elements comes out at -0.168 eV/atom.

abc: 4.924 8.713 6.871
angles: 90.00 90.00 90.00
Space group Pmc2_1 (No. 26)
Unique sites:
Y1 0.000 0.076 0.000 x2
Y2 0.000 0.338 0.369 x2
Y3 0.500 0.166 0.657 x2
Tm1 0.500 0.424 0.028 x2
Cu1 0.000 0.348 0.776 x2
Cu2 0.500 0.154 0.251 x2